Model w:
VASP calculation (PBE) on an optimized crystal structure of PmCdSn3.

Cell: 6.3630 6.3356 13.2181 Å, 90.00 90.00 90.00°
Closest atoms and distances in Å follow each position.
Element x y z (fractional)
Sn 0.7500 0.3030 0.9199  4 Cd 3.05-3.28, 3 Sn 3.14-3.25, 1 Pm 3.31
Sn 0.0000 0.7500 0.5000  4 Sn 3.17-3.18, 4 Pm 3.35-3.38
Pm 0.2500 0.9939 0.6896  9 Sn 3.18-3.38, 2 Cd 3.40
Sn 0.7500 0.8030 0.0801  4 Cd 3.05-3.28, 3 Sn 3.14-3.25, 1 Pm 3.31
Sn 0.2500 0.9888 0.2723  2 Cd 3.10, 1 Sn 3.14, 4 Pm 3.18-3.24
Cd 0.0000 0.2500 0.1152  6 Sn 3.05-3.28, 2 Cd 3.18, 2 Pm 3.40
Pm 0.2500 0.4939 0.3104  9 Sn 3.18-3.38, 2 Cd 3.40
Sn 0.2500 0.4888 0.7277  2 Cd 3.10, 1 Sn 3.14, 4 Pm 3.18-3.24
Sn 0.2500 0.6970 0.0801  4 Cd 3.05-3.28, 3 Sn 3.14-3.25, 1 Pm 3.31
Sn 0.7500 0.5112 0.2723  2 Cd 3.10, 1 Sn 3.14, 4 Pm 3.18-3.24
Cd 0.0000 0.7500 0.8848  6 Sn 3.05-3.28, 2 Cd 3.18, 2 Pm 3.40
Cd 0.5000 0.2500 0.1152  6 Sn 3.05-3.28, 2 Cd 3.18, 2 Pm 3.40
Sn 0.7500 0.0112 0.7277  2 Cd 3.10, 1 Sn 3.14, 4 Pm 3.18-3.24
Pm 0.7500 0.0061 0.3104  9 Sn 3.18-3.38, 2 Cd 3.40
Pm 0.7500 0.5061 0.6896  9 Sn 3.18-3.38, 2 Cd 3.40
Sn 0.0000 0.2500 0.5000  4 Sn 3.17-3.18, 4 Pm 3.35-3.38
Sn 0.5000 0.7500 0.5000  4 Sn 3.17-3.18, 4 Pm 3.35-3.38
Cd 0.5000 0.7500 0.8848  6 Sn 3.05-3.28, 2 Cd 3.18, 2 Pm 3.40
Sn 0.5000 0.2500 0.5000  4 Sn 3.17-3.18, 4 Pm 3.35-3.38
Sn 0.2500 0.1970 0.9199  4 Cd 3.05-3.28, 3 Sn 3.14-3.25, 1 Pm 3.31

Properties
Space group: Pbcm, No. 57

Model x:
VASP calculation (PBE) on an optimized crystal structure of PmCdSn3.

Cell: 8.7054 6.4557 6.4982 Å, 120.20 89.99 42.99°
Closest atoms and distances in Å follow each position.
Element x y z (fractional)
Cd 0.5000 0.0000 0.0000  6 Sn 2.97-2.99
Sn 0.0000 0.5000 0.0000  2 Cd 2.97, 2 Pm 3.23, 4 Sn 3.23-3.25
Sn 0.0000 0.0000 0.5000  2 Cd 2.99, 4 Sn 3.23, 2 Pm 3.25
Sn 0.0000 0.5000 0.5000  2 Cd 2.97, 4 Sn 3.23-3.25, 2 Pm 3.23
Pm 0.0000 0.0000 0.0000  6 Sn 3.23-3.25

Properties
Space group: C2/m, No. 12

It is model x that is the least stable of them.